Entry 1:
Mg2AlCo | Alexandria via LeMat-Bulk | PBE | optimized geometry; formation enthalpy at 0 K = 0.164 eV/atom; E_tot = -3.345 eV per atom
1.0
9.136 -0.015 -0.009
8.664 2.898 -0.009
8.664 1.403 2.535
Al Co Mg
1 1 2
direct
0.250 0.250 0.250
0.750 0.750 0.750
0.007 0.007 0.007
0.493 0.493 0.493

***

Entry 2:
Mg3AlCo | Alexandria via LeMat-Bulk | PBE | optimized geometry; formation enthalpy at 0 K = 0.936 eV/atom; ΔE to the lowest computed polymorph = 521.1 meV per atom; E_tot = -2.191 eV per atom
1.0
5.088 0.000 0.000
0.000 5.088 0.000
0.000 0.000 5.088
Mg Co Al
3 1 1
direct
0.000 0.500 0.000
0.000 0.000 0.500
0.500 0.000 0.000
0.500 0.500 0.500
0.000 0.000 0.000

***

Entry 3:
Mg14AlCo | Alexandria via LeMat-Bulk | PBE | optimized geometry; formation enthalpy at 0 K = 0.049 eV/atom; ΔE to the lowest computed polymorph = 0.0 meV per atom; E_tot = -2.024 eV per atom
1.0
3.097 -5.348 0.000
3.097 5.348 0.000
0.000 0.000 10.133
Mg Al Co
14 1 1
direct
0.835 0.165 0.000
0.334 0.666 0.000
0.345 0.154 0.500
0.331 0.167 0.000
0.846 0.655 0.500
0.833 0.669 0.000
0.169 0.347 0.274
0.169 0.347 0.726
0.653 0.831 0.274
0.653 0.831 0.726
0.667 0.333 0.248
0.667 0.333 0.752
0.169 0.831 0.259
0.169 0.831 0.741
0.832 0.168 0.500
0.327 0.673 0.500

***

Entry 4:
MgAlCo2 | Alexandria via LeMat-Bulk | PBE | optimized geometry; formation enthalpy at 0 K = -0.191 eV/atom; E_tot = -5.079 eV per atom
1.0
-0.167 2.215 -3.485
-2.552 -1.270 -0.685
-2.027 2.995 2.001
Al Co Mg
1 2 1
direct
0.500 0.625 0.875
0.000 0.125 0.875
0.500 0.125 0.375
0.000 0.625 0.375

***

Entry 5:
Mg2AlCo | Alexandria via LeMat-Bulk | PBE | optimized geometry; formation enthalpy at 0 K = 0.013 eV/atom; E_tot = -3.497 eV per atom
1.0
-3.382 -1.013 2.210
-1.038 -1.623 -2.332
1.988 -5.103 0.703
Al Co Mg
1 1 2
direct
0.000 0.676 0.521
0.500 0.570 0.738
0.000 0.959 0.957
0.500 0.294 0.284

***

Entry 6:
MgAlCo2 | Alexandria via LeMat-Bulk | PBE | optimized geometry; formation enthalpy at 0 K = 0.340 eV/atom; E_tot = -4.547 eV per atom
1.0
-2.709 -4.652 3.875
-1.646 -3.519 -5.376
0.135 -5.339 -0.638
Mg Co Al
2 4 2
direct
0.500 0.500 0.000
0.250 0.750 0.500
0.646 0.125 0.250
0.104 0.625 0.250
0.375 0.354 0.750
0.875 0.896 0.750
0.000 0.000 0.000
0.750 0.250 0.500

***

Look up the E_tot of the third one. -2.024 eV per atom

***

Which of these has the lowest E_tot? number 4

***

The lowest E_tot belongs to which entry? number 4

***

Which of these has the highest E_tot? Mg14AlCo